[1]
# LiNiAsRu2 (PBE, relaxed)
# **Calculated total energy**: -26.7 eV/cell
# **Energy relative to the elements**: 4.21 eV per formula unit
# **V**: 89 Å³ per cell
# **Total magnetization**: 2.40 Bohr magnetons per cell
data_LiNiAsRu2
_chemical_formula_sum 'Li1 Ni1 As1 Ru2'
_cell_length_a 4.513
_cell_length_b 4.513
_cell_length_c 4.349
_cell_angle_alpha 90.00
_cell_angle_beta 90.00
_cell_angle_gamma 90.00
_space_group_name_H-M_alt 'P 4/m m m'
_space_group_IT_number 123
_space_group_name_Hall '-P 4 2'
loop_
_atom_site_label
_atom_site_fract_x
_atom_site_fract_y
_atom_site_fract_z
Li1 0.000 0.000 0.000
Ni1 0.500 0.500 0.000
As1 0.000 0.000 0.500
Ru1 0.000 0.500 0.500

---

[2]
# LiNiAs2Ru (PBE, relaxed)
# **Calculated total energy**: -56.0 eV/cell
# **Energy relative to the elements**: -1.75 eV per formula unit
# **V**: 167 Å³ per cell
# **Total magnetization**: 0.00 Bohr magnetons per cell
data_LiNiAs2Ru
_chemical_formula_sum 'Li2 Ni2 As4 Ru2'
_cell_length_a 3.924
_cell_length_b 3.924
_cell_length_c 10.823
_cell_angle_alpha 90.00
_cell_angle_beta 90.00
_cell_angle_gamma 90.00
_space_group_name_H-M_alt 'I -4 m 2'
_space_group_IT_number 119
_space_group_name_Hall 'I -4 -2'
loop_
_atom_site_label
_atom_site_fract_x
_atom_site_fract_y
_atom_site_fract_z
Li1 0.000 0.000 0.000
Ni1 0.000 0.500 0.250
As1 0.000 0.000 0.378
Ru1 0.000 0.500 0.750

---

[3]
# LiNiAsSe2 (PBE, relaxed)
# **Calculated total energy**: -16.0 eV/cell
# **V**: 94 Å³ per cell
# **Excess energy over the best structure of this formula in the dataset**: 3.30 eV per formula unit
# **Total magnetization**: 0.50 Bohr magnetons per cell
data_LiNiAsSe2
_chemical_formula_sum 'Li1 Ni1 As1 Se2'
_cell_length_a 4.642
_cell_length_b 4.642
_cell_length_c 4.376
_cell_angle_alpha 90.00
_cell_angle_beta 90.00
_cell_angle_gamma 90.00
_space_group_name_H-M_alt 'P 4/m m m'
_space_group_IT_number 123
_space_group_name_Hall '-P 4 2'
loop_
_atom_site_label
_atom_site_fract_x
_atom_site_fract_y
_atom_site_fract_z
Li1 0.000 0.000 0.000
Ni1 0.500 0.500 0.500
As1 0.000 0.000 0.500
Se1 0.000 0.500 0.000